Below is crystalline U3In3AgTe8 at its relaxed geometry, with properties calculated at the PBE level.

Cell and atoms, written as CIF:
```
data_U3In3AgTe8
_chemical_formula_sum 'U6 In6 Ag2 Te16'
_cell_length_a 14.8183
_cell_length_b 8.5738
_cell_length_c 9.6175
_cell_angle_alpha 90.00
_cell_angle_beta 120.83
_cell_angle_gamma 90.00
_space_group_name_H-M_alt 'C 1 2/m 1'
_space_group_IT_number 12
_space_group_name_Hall '-C 2y'
loop_
_atom_site_label
_atom_site_type_symbol
_atom_site_fract_x
_atom_site_fract_y
_atom_site_fract_z
_atom_site_occupancy
U1 U 0.0000 0.0000 0.0000 1
U2 U 0.2500 0.2500 0.0000 1
In1 In 0.0000 0.5000 0.5000 1
In2 In 0.2500 0.2500 0.5000 1
Ag1 Ag 0.0000 0.5000 0.0000 1
Te1 Te 0.0127 0.2442 0.7822 1
Te2 Te 0.2416 0.0000 0.2248 1
Te3 Te 0.2418 0.5000 0.2168 1
```

# Pm4Dy8Er3, relaxed, DFT PBE
# Polymorph energy (0 for the lowest one) in eV/f.u.: 3.76
# Energy of formation in meV per atom: 373.6
data_Pm4Dy8Er3
_chemical_formula_sum 'Pm8 Dy16 Er6'
_cell_length_a 13.3876
_cell_length_b 12.8014
_cell_length_c 6.7444
_cell_angle_alpha 90.00
_cell_angle_beta 120.03
_cell_angle_gamma 90.00
_space_group_name_H-M_alt 'C 1 2/m 1'
_space_group_IT_number 12
_space_group_name_Hall '-C 2y'
loop_
_atom_site_label
_atom_site_type_symbol
_atom_site_fract_x
_atom_site_fract_y
_atom_site_fract_z
_atom_site_occupancy
Pm1 Pm 0.0000 0.0000 0.0000 1
Pm2 Pm 0.0000 0.0000 0.5000 1
Pm3 Pm 0.2500 0.2500 0.0000 1
Dy1 Dy 0.0000 0.2550 0.0000 1
Dy2 Dy 0.0000 0.3612 0.5000 1
Dy3 Dy 0.2289 0.5000 0.9592 1
Dy4 Dy 0.2338 0.5000 0.4856 1
Er1 Er 0.0000 0.5000 0.0000 1
Er2 Er 0.2500 0.2500 0.5000 1

# LaRuPt, relaxed, DFT PBE
# Energy of formation in meV per atom: -328.0
data_LaRuPt
_chemical_formula_sum 'La4 Ru4 Pt4'
_cell_length_a 8.8041
_cell_length_b 5.6867
_cell_length_c 5.1697
_cell_angle_alpha 90.00
_cell_angle_beta 108.07
_cell_angle_gamma 90.00
_space_group_name_H-M_alt 'C 1 2/m 1'
_space_group_IT_number 12
_space_group_name_Hall '-C 2y'
loop_
_atom_site_label
_atom_site_type_symbol
_atom_site_fract_x
_atom_site_fract_y
_atom_site_fract_z
_atom_site_occupancy
La1 La 0.1340 0.0000 0.3723 1
Ru1 Ru 0.0143 0.5000 0.2741 1
Pt1 Pt 0.2500 0.2500 0.0000 1

# Be3Ru2, relaxed, DFT PBE
# Polymorph energy (0 for the lowest one) in eV/f.u.: 2.46
# Energy of formation in meV per atom: 79.2
data_Be3Ru2
_chemical_formula_sum 'Be9 Ru6'
_cell_length_a 2.6554
_cell_length_b 2.6554
_cell_length_c 27.9313
_cell_angle_alpha 90.00
_cell_angle_beta 90.00
_cell_angle_gamma 120.00
_space_group_name_H-M_alt 'R -3 m'
_space_group_IT_number 166
_space_group_name_Hall '-R 3 2"'
loop_
_atom_site_label
_atom_site_type_symbol
_atom_site_fract_x
_atom_site_fract_y
_atom_site_fract_z
_atom_site_occupancy
Be1 Be 0.0000 0.0000 0.0000 1
Be2 Be 0.0000 0.0000 0.2006 1
Ru1 Ru 0.0000 0.0000 0.4001 1

# BaLi4, relaxed, DFT PBE
# Polymorph energy (0 for the lowest one) in eV/f.u.: 4.11
# Energy of formation in meV per atom: 833.3
data_BaLi4
_chemical_formula_sum 'Ba1 Li4'
_cell_length_a 6.1172
_cell_length_b 6.1172
_cell_length_c 6.1172
_cell_angle_alpha 90.00
_cell_angle_beta 90.00
_cell_angle_gamma 90.00
_space_group_name_H-M_alt 'P m -3 m'
_space_group_IT_number 221
_space_group_name_Hall '-P 4 2 3'
loop_
_atom_site_label
_atom_site_type_symbol
_atom_site_fract_x
_atom_site_fract_y
_atom_site_fract_z
_atom_site_occupancy
Ba1 Ba 0.0000 0.0000 0.0000 1
Li1 Li 0.0000 0.0000 0.5000 1
Li2 Li 0.5000 0.5000 0.5000 1

# LaEr3Cd4, relaxed, DFT PBE
# Energy of formation in meV per atom: -304.0
data_LaEr3Cd4
_chemical_formula_sum 'La1 Er3 Cd4'
_cell_length_a 5.2878
_cell_length_b 5.2878
_cell_length_c 7.6813
_cell_angle_alpha 90.00
_cell_angle_beta 90.00
_cell_angle_gamma 90.00
_space_group_name_H-M_alt 'P 4/m m m'
_space_group_IT_number 123
_space_group_name_Hall '-P 4 2'
loop_
_atom_site_label
_atom_site_type_symbol
_atom_site_fract_x
_atom_site_fract_y
_atom_site_fract_z
_atom_site_occupancy
La1 La 0.0000 0.0000 0.0000 1
Er1 Er 0.0000 0.0000 0.5000 1
Er2 Er 0.5000 0.5000 0.0000 1
Er3 Er 0.5000 0.5000 0.5000 1
Cd1 Cd 0.0000 0.5000 0.2646 1

# AgSbPt, relaxed, DFT PBE
# Polymorph energy (0 for the lowest one) in eV/f.u.: 0.54
data_AgSbPt
_chemical_formula_sum 'Ag1 Sb1 Pt1'
_cell_length_a 3.4712
_cell_length_b 3.4712
_cell_length_c 6.1305
_cell_angle_alpha 90.00
_cell_angle_beta 90.00
_cell_angle_gamma 120.00
_space_group_name_H-M_alt 'P 3 m 1'
_space_group_IT_number 156
_space_group_name_Hall 'P 3 -2"'
loop_
_atom_site_label
_atom_site_type_symbol
_atom_site_fract_x
_atom_site_fract_y
_atom_site_fract_z
_atom_site_occupancy
Ag1 Ag 0.0000 0.0000 0.0000 1
Sb1 Sb 0.3333 0.6667 0.6050 1
Pt1 Pt 0.6667 0.3333 0.3257 1

# Pm2Zn9Pd6, relaxed, DFT PBE
# Energy of formation in meV per atom: -468.2
data_Pm2Zn9Pd6
_chemical_formula_sum 'Pm2 Zn9 Pd6'
_cell_length_a 5.3723
_cell_length_b 5.3723
_cell_length_c 12.7060
_cell_angle_alpha 90.00
_cell_angle_beta 90.00
_cell_angle_gamma 120.00
_space_group_name_H-M_alt 'P 6/m m m'
_space_group_IT_number 191
_space_group_name_Hall '-P 6 2'
loop_
_atom_site_label
_atom_site_type_symbol
_atom_site_fract_x
_atom_site_fract_y
_atom_site_fract_z
_atom_site_occupancy
Pm1 Pm 0.0000 0.0000 0.1635 1
Zn1 Zn 0.0000 0.5000 0.0000 1
Zn2 Zn 0.0000 0.5000 0.3389 1
Pd1 Pd 0.3333 0.6667 0.1724 1
Pd2 Pd 0.3333 0.6667 0.5000 1

Calculated calculated total energy in order - -5.0586 -4.2603 -7.0760 -5.8668 -1.0823 -3.0886 -4.3391 -3.5343 eV/atom
Calculated DOS at the Fermi energy in order - 33.32 59.11 10.71 6.30 5.57 8.60 1.08 6.10 states/eV per cell